CaOs3O12: relaxed, PBE.

Cell and atoms, written as extended XYZ:
```
32
Lattice="8.9592 0.0000 4.3263 3.4350 8.2745 4.3263 0.7020 0.4687 9.9860" Properties=species:S:1:pos:R:3 pbc="T T T"
O 9.1624 7.8228 11.5073
O 4.7231 4.4769 8.4562
Ca 1.2030 0.8031 8.9486
Os 7.5750 7.6394 10.8481
O 3.6433 3.4589 6.0281
Os 3.2294 4.0672 7.5980
O 6.3552 7.9918 12.0796
O 7.3396 6.0037 10.2119
O 8.5208 7.8305 14.5407
Os 7.5488 8.4387 15.8411
Os 7.8254 3.7364 14.4587
O 9.3394 5.0008 7.8084
Os 11.5426 5.7948 16.9173
O 6.9175 3.6202 6.1938
O 1.3831 2.0387 4.4789
O 11.1884 5.4628 11.7249
O 2.5129 0.5739 10.8786
O 7.5988 2.6457 9.2544
O 4.8918 1.5599 12.1741
O 9.1088 1.0979 11.1868
O 11.1396 6.4103 15.3474
O 6.7046 6.7083 7.0866
O 3.9510 0.4958 5.2214
O 6.3220 3.9199 13.6255
Ca 7.0491 4.7060 8.2819
O 8.4700 2.1008 14.2475
O 3.4890 4.3360 12.3916
Os 8.8623 1.4232 9.4657
O 11.8903 8.2389 12.9588
O 8.9613 4.8674 13.7982
O 2.3533 2.8054 8.4751
O 3.5345 7.0173 13.4492
```

Values from the calculation:
Its space group is No. 161. The formation energy (no corrections) comes out at -1.20 eV/atom. As for the uncorrected energy: -7.1503 eV/atom.